Entry 1:
First-principles (PBE) data for crystalline Pm2PPd at its relaxed geometry, as listed in the Alexandria database.

```
4
Lattice="-0.963 3.750 1.309 -1.974 2.585 -2.476 -7.166 -0.315 2.012" Properties=species:S:1:pos:R:3 pbc="T T T"
Pm -2.602 1.475 0.241
Pm -7.501 4.545 0.605
Pd 0.000 0.000 0.000
P -5.051 3.010 0.423
```

Properties
Symmetry   R-3m
Electronic total energy   -24.3 eV per cell
Calculated formation energy   -1037 meV/atom
D(E_F)   0.70 states/eV/atom
ρ   6.94 g/cm³
Total magnetization   0.0000 μB per atom

---

Entry 2:
First-principles (PBE) data for crystalline Be2PtCl at its relaxed geometry, as listed in the Alexandria database.

```
4
Lattice="3.713 -0.075 0.014 1.982 3.141 0.014 -1.981 -1.066 5.716" Properties=species:S:1:pos:R:3 pbc="T T T"
Be 2.802 1.509 2.289
Be 4.750 2.557 0.611
Pt 0.929 0.500 1.436
Cl 2.786 1.500 4.308
```

Properties
Symmetry   C2/m
Electronic total energy   -17.0 eV per cell
D(E_F)   0.10 states/eV/atom
ρ   6.10 g/cm³
Total magnetization   0.0000 μB per atom
Energy relative to the elements, uncorrected   -0.406 eV per atom

---

Entry 3:
First-principles (PBE) data for crystalline MnTeIN2 at its relaxed geometry, as listed in the Alexandria database.

```
5
Lattice="3.989 0.000 0.000 0.000 3.989 0.000 0.000 0.000 7.603" Properties=species:S:1:pos:R:3 pbc="T T T"
I 0.000 0.000 0.000
N 0.000 1.994 0.000
N 1.994 0.000 0.000
Mn 1.994 1.994 3.801
Te 0.000 0.000 3.801
```

Properties
Symmetry   P4/mmm
Electronic total energy   -21.9 eV per cell
D(E_F)   0.56 states/eV/atom
ρ   4.63 g/cm³
Total magnetization   0.9678 μB per atom
Energy relative to the elements, uncorrected   1.727 eV per atom

---

Entry 4:
First-principles (PBE) data for crystalline Li2TaP at its relaxed geometry, as listed in the Alexandria database.

```
8
Lattice="-5.622 3.864 2.282 -4.024 -2.720 -5.306 -5.495 -1.262 -0.062" Properties=species:S:1:pos:R:3 pbc="T T T"
Li -7.941 -0.654 -1.448
Li -5.107 1.565 0.633
Li -4.875 -1.338 -2.931
Li -12.358 0.192 -2.424
P -7.171 -1.705 -3.440
P -4.823 0.572 -1.512
Ta -7.970 1.587 0.354
Ta 0.000 0.000 0.000
```

Properties
Symmetry   I-42d
Electronic total energy   -40.9 eV per cell
Calculated formation energy   163 meV/atom
D(E_F)   0.61 states/eV/atom
ρ   5.96 g/cm³
Total magnetization   0.0000 μB per atom

---

Entry 5:
First-principles (PBE) data for crystalline HfCrGa2 at its relaxed geometry, as listed in the Alexandria database.

```
4
Lattice="4.089 0.000 0.000 0.000 3.977 0.000 0.000 0.000 3.977" Properties=species:S:1:pos:R:3 pbc="T T T"
Cr 2.045 1.988 1.988
Ga 0.000 1.988 0.000
Ga 0.000 0.000 1.988
Hf 2.045 0.000 0.000
```

Properties
Symmetry   P4/mmm
Electronic total energy   -26.3 eV per cell
Calculated formation energy   -162 meV/atom
D(E_F)   0.86 states/eV/atom
ρ   9.50 g/cm³
Total magnetization   0.5200 μB per atom

---

Entry 6:
First-principles (PBE) data for crystalline MnH2Br4 at its relaxed geometry, as listed in the Alexandria database.

```
7
Lattice="-2.984 -1.143 2.243 4.960 -5.731 1.518 1.924 2.648 5.575" Properties=species:S:1:pos:R:3 pbc="T T T"
H 2.690 -3.951 5.441
H 1.210 -0.275 3.895
Br 1.479 -4.224 4.627
Br 2.421 -0.002 4.708
Br -0.351 -0.919 2.477
Br 4.251 -3.307 6.858
Mn 0.000 0.000 0.000
```

Properties
Symmetry   P-1
Electronic total energy   -25.7 eV per cell
D(E_F)   0.00 states/eV/atom
ρ   3.30 g/cm³
Total magnetization   0.7143 μB per atom